(1)
DyEr2Ag3: optimized geometry, PBE.

Unit cell a=3.597 b=3.597 c=10.940 alpha=90.00 beta=90.00 gamma=90.00
Element x y z (fractional)
1 Dy 0.000 0.000 0.000
2 Er 0.000 0.000 0.334
3 Er 0.000 0.000 0.666
4 Ag 0.500 0.500 0.170
5 Ag 0.500 0.500 0.500
6 Ag 0.500 0.500 0.830

Computed properties:
E_tot	-24.3	eV/f.u.
space group	P4/mmm, No. 123
formation energy	-0.33	eV/atom

=====

(2)
Dy3Er2Ag2: optimized geometry, PBE.

Unit cell a=14.983 b=14.983 c=14.983 alpha=166.27 beta=166.27 gamma=19.47
Element x y z (fractional)
1 Dy 0.000 0.000 0.000
2 Dy 0.125 0.125 0.000
3 Dy 0.875 0.875 0.000
4 Er 0.291 0.291 0.000
5 Er 0.709 0.709 0.000
6 Ag 0.437 0.437 0.000
7 Ag 0.563 0.563 0.000

Computed properties:
E_tot	-29.8	eV/f.u.
energy relative to the lowest polymorph listed for this composition	0.0	meV per atom
space group	I4/mmm, No. 139
formation energy	-0.17	eV/atom

=====

(3)
Dy2ErAg6: optimized geometry, PBE.

Unit cell a=8.470 b=8.470 c=5.304 alpha=98.89 beta=98.89 gamma=143.60
Element x y z (fractional)
1 Dy 0.165 0.835 0.000
2 Dy 0.835 0.165 0.000
3 Er 0.000 0.000 0.500
4 Ag 0.168 0.499 0.664
5 Ag 0.339 0.339 0.177
6 Ag 0.499 0.168 0.664
7 Ag 0.501 0.832 0.336
8 Ag 0.661 0.661 0.823
9 Ag 0.832 0.501 0.336

Computed properties:
E_tot	-33.2	eV/f.u.
space group	C2/m, No. 12
formation energy	-0.25	eV/atom

=====

(4)
DyErGaAg: optimized geometry, PBE.

Unit cell a=5.089 b=5.089 c=5.089 alpha=60.00 beta=60.00 gamma=60.00
Element x y z (fractional)
1 Dy 0.000 0.000 0.000
2 Er 0.500 0.500 0.500
3 Ga 0.750 0.750 0.750
4 Ag 0.250 0.250 0.250

Computed properties:
E_tot	-16.9	eV/f.u.
space group	F-43m, No. 216
formation energy	-0.46	eV/atom

=====

(5)
DyErAgGe: optimized geometry, PBE.

Unit cell a=5.059 b=5.059 c=5.059 alpha=60.00 beta=60.00 gamma=60.00
Element x y z (fractional)
1 Dy 0.000 0.000 0.000
2 Er 0.500 0.500 0.500
3 Ag 0.250 0.250 0.250
4 Ge 0.750 0.750 0.750

Computed properties:
E_tot	-18.7	eV/f.u.
space group	F-43m, No. 216
formation energy	-0.52	eV/atom

=====

(6)
Dy2ErAgHg4: optimized geometry, PBE.

Unit cell a=9.031 b=9.031 c=9.031 alpha=32.86 beta=32.86 gamma=32.86
Element x y z (fractional)
1 Dy 0.243 0.243 0.243
2 Dy 0.757 0.757 0.757
3 Er 0.000 0.000 0.000
4 Ag 0.500 0.500 0.500
5 Hg 0.123 0.123 0.123
6 Hg 0.372 0.372 0.372
7 Hg 0.628 0.628 0.628
8 Hg 0.877 0.877 0.877

Computed properties:
E_tot	-21.0	eV/f.u.
space group	R-3m, No. 166
formation energy	-0.40	eV/atom

=====

(7)
DyErAgHg: optimized geometry, PBE.

Unit cell a=5.179 b=5.179 c=5.179 alpha=60.00 beta=60.00 gamma=60.00
Element x y z (fractional)
1 Dy 0.000 0.000 0.000
2 Er 0.500 0.500 0.500
3 Ag 0.250 0.250 0.250
4 Hg 0.750 0.750 0.750

Computed properties:
E_tot	-13.9	eV/f.u.
space group	F-43m, No. 216
formation energy	-0.41	eV/atom

=====

(8)
DyEr2In2Ag2: optimized geometry, PBE.

Unit cell a=9.252 b=9.252 c=9.252 alpha=30.27 beta=30.27 gamma=30.27
Element x y z (fractional)
1 Dy 0.000 0.000 0.000
2 Er 0.126 0.126 0.126
3 Er 0.874 0.874 0.874
4 In 0.259 0.259 0.259
5 In 0.741 0.741 0.741
6 Ag 0.398 0.398 0.398
7 Ag 0.602 0.602 0.602

Computed properties:
E_tot	-26.8	eV/f.u.
space group	R-3m, No. 166
formation energy	-0.27	eV/atom

=====

(9)
LaDyErAg: optimized geometry, PBE.

Unit cell a=3.644 b=3.644 c=8.719 alpha=90.00 beta=90.00 gamma=90.00
Element x y z (fractional)
1 La 0.000 0.000 0.000
2 Dy 0.500 0.500 0.703
3 Er 0.500 0.500 0.296
4 Ag 0.000 0.000 0.495

Computed properties:
E_tot	-17.5	eV/f.u.
space group	P4mm, No. 99
formation energy	-0.13	eV/atom

=====

(10)
NdDyErAg: optimized geometry, PBE.

Unit cell a=3.633 b=3.633 c=8.632 alpha=90.00 beta=90.00 gamma=90.00
Element x y z (fractional)
1 Nd 0.000 0.000 0.000
2 Dy 0.500 0.500 0.706
3 Er 0.500 0.500 0.292
4 Ag 0.000 0.000 0.494

Computed properties:
E_tot	-17.3	eV/f.u.
energy relative to the lowest polymorph listed for this composition	0.0	meV per atom
space group	P4mm, No. 99
formation energy	-0.13	eV/atom

=====

(11)
NdDyErAg: optimized geometry, PBE.

Unit cell a=5.421 b=5.421 c=5.421 alpha=60.00 beta=60.00 gamma=60.00
Element x y z (fractional)
1 Nd 0.000 0.000 0.000
2 Dy 0.500 0.500 0.500
3 Er 0.250 0.250 0.250
4 Ag 0.750 0.750 0.750

Computed properties:
E_tot	-16.5	eV/f.u.
energy relative to the lowest polymorph listed for this composition	193.6	meV per atom
space group	F-43m, No. 216
formation energy	0.06	eV/atom

=====

(12)
NdDy2ErAg4: optimized geometry, PBE.

Unit cell a=8.995 b=8.995 c=8.995 alpha=33.39 beta=33.39 gamma=33.39
Element x y z (fractional)
1 Nd 0.000 0.000 0.000
2 Dy 0.249 0.249 0.249
3 Dy 0.751 0.751 0.751
4 Er 0.500 0.500 0.500
5 Ag 0.127 0.127 0.127
6 Ag 0.379 0.379 0.379
7 Ag 0.621 0.621 0.621
8 Ag 0.873 0.873 0.873

Computed properties:
E_tot	-32.4	eV/f.u.
space group	R-3m, No. 166
formation energy	-0.30	eV/atom

=====

(13)
DyErNiAg: optimized geometry, PBE.

Unit cell a=4.948 b=4.948 c=4.948 alpha=60.00 beta=60.00 gamma=60.00
Element x y z (fractional)
1 Dy 0.000 0.000 0.000
2 Er 0.500 0.500 0.500
3 Ni 0.250 0.250 0.250
4 Ag 0.750 0.750 0.750

Computed properties:
E_tot	-19.1	eV/f.u.
space group	F-43m, No. 216
formation energy	-0.33	eV/atom

=====

(14)
DyErAgPb: optimized geometry, PBE.

Unit cell a=5.261 b=5.261 c=5.261 alpha=60.00 beta=60.00 gamma=60.00
Element x y z (fractional)
1 Dy 0.000 0.000 0.000
2 Er 0.500 0.500 0.500
3 Ag 0.250 0.250 0.250
4 Pb 0.750 0.750 0.750

Computed properties:
E_tot	-17.2	eV/f.u.
space group	F-43m, No. 216
formation energy	-0.38	eV/atom

=====

(15)
DyErAgPt: optimized geometry, PBE.

Unit cell a=5.000 b=5.000 c=5.000 alpha=60.00 beta=60.00 gamma=60.00
Element x y z (fractional)
1 Dy 0.000 0.000 0.000
2 Er 0.500 0.500 0.500
3 Ag 0.250 0.250 0.250
4 Pt 0.750 0.750 0.750

Computed properties:
E_tot	-21.3	eV/f.u.
space group	F-43m, No. 216
formation energy	-0.80	eV/atom

=====

(16)
DyErAgRh: optimized geometry, PBE.

Unit cell a=3.490 b=3.490 c=7.162 alpha=90.00 beta=90.00 gamma=90.00
Element x y z (fractional)
1 Dy 0.000 0.000 0.000
2 Er 0.000 0.000 0.542
3 Ag 0.500 0.500 0.275
4 Rh 0.500 0.500 0.768

Computed properties:
E_tot	-21.8	eV/f.u.
energy relative to the lowest polymorph listed for this composition	0.0	meV per atom
space group	P4mm, No. 99
formation energy	-0.61	eV/atom

=====

(17)
DyErAgRh: optimized geometry, PBE.

Unit cell a=4.966 b=4.966 c=4.966 alpha=60.00 beta=60.00 gamma=60.00
Element x y z (fractional)
1 Dy 0.000 0.000 0.000
2 Er 0.500 0.500 0.500
3 Ag 0.750 0.750 0.750
4 Rh 0.250 0.250 0.250

Computed properties:
E_tot	-21.7	eV/f.u.
energy relative to the lowest polymorph listed for this composition	20.4	meV per atom
space group	F-43m, No. 216
formation energy	-0.59	eV/atom

=====

(18)
DyErAgRu: optimized geometry, PBE.

Unit cell a=3.405 b=3.405 c=7.481 alpha=90.00 beta=90.00 gamma=90.00
Element x y z (fractional)
1 Dy 0.000 0.000 0.000
2 Er 0.000 0.000 0.556
3 Ag 0.500 0.500 0.282
4 Ru 0.500 0.500 0.775

Computed properties:
E_tot	-23.0	eV/f.u.
energy relative to the lowest polymorph listed for this composition	0.0	meV per atom
space group	P4mm, No. 99
formation energy	-0.43	eV/atom

=====

(19)
Dy2Er5AgRu2: optimized geometry, PBE.

Unit cell a=11.632 b=11.632 c=3.789 alpha=90.00 beta=90.00 gamma=90.00
Element x y z (fractional)
1 Dy 0.188 0.312 0.000
2 Dy 0.312 0.812 0.000
3 Dy 0.688 0.188 0.000
4 Dy 0.812 0.688 0.000
5 Er 0.000 0.500 0.500
6 Er 0.058 0.790 0.500
7 Er 0.210 0.058 0.500
8 Er 0.290 0.558 0.500
9 Er 0.442 0.290 0.500
10 Er 0.500 0.000 0.500
11 Er 0.558 0.710 0.500
12 Er 0.710 0.442 0.500
13 Er 0.790 0.942 0.500
14 Er 0.942 0.210 0.500
15 Ag 0.000 0.000 0.000
16 Ag 0.500 0.500 0.000
17 Ru 0.133 0.633 0.000
18 Ru 0.367 0.133 0.000
19 Ru 0.633 0.867 0.000
20 Ru 0.867 0.367 0.000

Computed properties:
E_tot	-56.5	eV/f.u.
space group	P4/mbm, No. 127
formation energy	-0.31	eV/atom

=====

(20)
DyErAgRu: optimized geometry, PBE.

Unit cell a=4.938 b=4.938 c=4.938 alpha=60.00 beta=60.00 gamma=60.00
Element x y z (fractional)
1 Dy 0.000 0.000 0.000
2 Er 0.500 0.500 0.500
3 Ag 0.750 0.750 0.750
4 Ru 0.250 0.250 0.250

Computed properties:
E_tot	-22.8	eV/f.u.
energy relative to the lowest polymorph listed for this composition	62.7	meV per atom
space group	F-43m, No. 216
formation energy	-0.37	eV/atom